## Dy2ScVO6 (GGA+U)

Data for a geometry-optimized Dy2ScVO6 structure.

abc: 5.744 5.744 5.744
angles: 57.66 57.66 57.66
Fractional positions:
Dy  0.000  0.000  0.000
Dy  0.496  0.496  0.496
Sc  0.219  0.219  0.219
V  0.716  0.716  0.716
O  0.072  0.436  0.848
O  0.354  0.929  0.578
O  0.436  0.848  0.072
O  0.578  0.354  0.929
O  0.848  0.072  0.436
O  0.929  0.578  0.354

The value obtained for the calculated total energy is -8.442 eV/atom.